DFT (PBE-GGA) results for a relaxed structure of YCdRu2.

Unit cell a=2.972 b=3.588 c=7.258 alpha=90.00 beta=90.00 gamma=90.00
Sites, in units of the cell vectors:
Cd  0.500  0.500  0.793
Ru  0.000  0.000  0.045
Ru  0.500  0.500  0.195
Y  0.000  0.000  0.468

---

DFT (PBE-GGA) results for a relaxed structure of DyPtAu2.

Unit cell a=4.176 b=5.366 c=7.934 alpha=90.00 beta=90.00 gamma=112.83
Sites, in units of the cell vectors:
Dy  0.062  0.121  0.250
Dy  0.938  0.879  0.750
Pt  0.766  0.529  0.250
Pt  0.234  0.471  0.750
Au  0.369  0.735  0.057
Au  0.369  0.735  0.443
Au  0.631  0.265  0.943
Au  0.631  0.265  0.557

---

DFT (PBE-GGA) results for a relaxed structure of KTbMnTe3.

Unit cell a=4.477 b=9.684 c=10.464 alpha=107.83 beta=90.00 gamma=90.00
Sites, in units of the cell vectors:
K  0.750  0.794  0.763
K  0.250  0.206  0.237
Tb  0.250  0.670  0.140
Tb  0.750  0.330  0.860
Mn  0.250  0.084  0.606
Mn  0.750  0.916  0.394
Te  0.250  0.786  0.465
Te  0.750  0.893  0.134
Te  0.750  0.460  0.167
Te  0.750  0.214  0.535
Te  0.250  0.540  0.833
Te  0.250  0.107  0.866

---

DFT (PBE-GGA) results for a relaxed structure of CeHfTc.

Unit cell a=3.340 b=3.340 c=6.165 alpha=105.72 beta=105.72 gamma=90.00
Sites, in units of the cell vectors:
Hf  0.307  0.307  0.615
Tc  0.675  0.675  0.350
Ce  0.018  0.018  0.036

* E above lowest polymorph: 0 meV/atom

---

DFT (PBE-GGA) results for a relaxed structure of YZnPCl2.

Unit cell a=4.597 b=4.597 c=5.269 alpha=90.00 beta=90.00 gamma=90.00
Sites, in units of the cell vectors:
Y  0.500  0.500  0.500
P  0.000  0.000  0.500
Zn  0.000  0.000  0.000
Cl  0.000  0.500  0.000
Cl  0.500  0.000  0.000

* E above lowest polymorph: 76 meV/atom

---

DFT (PBE-GGA) results for a relaxed structure of Tb2I2Cl.

Unit cell a=6.018 b=7.167 c=8.454 alpha=113.10 beta=90.00 gamma=114.82
Sites, in units of the cell vectors:
Tb  0.170  0.340  0.570
Tb  0.830  0.660  0.430
Tb  0.516  0.032  0.285
Tb  0.484  0.968  0.715
I  0.705  0.410  0.673
I  0.295  0.590  0.327
I  0.037  0.073  0.804
I  0.963  0.927  0.196
Cl  0.358  0.715  0.901
Cl  0.642  0.285  0.099

* E above lowest polymorph: 64 meV/atom

---

DFT (PBE-GGA) results for a relaxed structure of Mg2SiMo.

Unit cell a=9.504 b=9.504 c=9.504 alpha=17.74 beta=17.74 gamma=17.74
Sites, in units of the cell vectors:
Mg  0.000  0.000  0.000
Mg  0.500  0.500  0.500
Mo  0.250  0.250  0.250
Si  0.750  0.750  0.750

---

DFT (PBE-GGA) results for a relaxed structure of AcAg3Se4.

Unit cell a=6.445 b=6.445 c=6.445 alpha=105.75 beta=111.36 gamma=111.36
Sites, in units of the cell vectors:
Ac  0.000  0.000  0.000
Se  0.579  0.088  0.088
Se  0.421  0.509  0.509
Se  0.000  0.491  0.912
Se  0.000  0.912  0.491
Ag  0.000  0.500  0.500
Ag  0.500  0.250  0.750
Ag  0.500  0.750  0.250

---

DFT (PBE-GGA) results for a relaxed structure of CaAlBi3.

Unit cell a=5.840 b=5.840 c=5.840 alpha=90.00 beta=90.00 gamma=90.00
Sites, in units of the cell vectors:
Ca  0.000  0.000  0.000
Bi  0.000  0.500  0.000
Bi  0.000  0.000  0.500
Bi  0.500  0.000  0.000
Al  0.500  0.500  0.500

* E above lowest polymorph: 530 meV/atom

---

DFT (PBE-GGA) results for a relaxed structure of Ca4Bi5Pt2.

Unit cell a=3.912 b=7.941 c=10.102 alpha=94.78 beta=90.00 gamma=90.00
Sites, in units of the cell vectors:
Ca  0.500  0.790  0.568
Ca  0.500  0.206  0.842
Ca  0.500  0.210  0.432
Ca  0.500  0.794  0.158
Bi  0.000  0.546  0.339
Bi  0.000  0.136  0.144
Bi  0.000  0.500  0.000
Bi  0.000  0.864  0.856
Bi  0.000  0.454  0.661
Pt  0.000  0.080  0.630
Pt  0.000  0.920  0.370

---

DFT (PBE-GGA) results for a relaxed structure of Y2ThOs2.

Unit cell a=4.400 b=5.866 c=5.867 alpha=60.85 beta=67.95 gamma=67.95
Sites, in units of the cell vectors:
Y  0.304  0.196  0.696
Y  0.696  0.804  0.304
Th  0.500  0.500  0.000
Os  0.000  0.220  0.280
Os  0.000  0.780  0.720

---

DFT (PBE-GGA) results for a relaxed structure of Pr3SiHg.

Unit cell a=8.162 b=8.136 c=9.595 alpha=110.90 beta=90.00 gamma=90.00
Sites, in units of the cell vectors:
Pr  0.181  0.609  0.796
Pr  0.819  0.391  0.204
Pr  0.681  0.891  0.204
Pr  0.319  0.109  0.796
Pr  0.677  0.476  0.867
Pr  0.323  0.524  0.133
Pr  0.177  0.024  0.133
Pr  0.823  0.976  0.867
Pr  0.007  0.213  0.564
Pr  0.993  0.787  0.436
Pr  0.507  0.287  0.436
Pr  0.493  0.713  0.564
Si  0.021  0.338  0.924
Si  0.979  0.662  0.076
Si  0.521  0.162  0.076
Si  0.479  0.838  0.924
Hg  0.831  0.556  0.593
Hg  0.169  0.444  0.407
Hg  0.331  0.944  0.407
Hg  0.669  0.056  0.593

---

DFT (PBE-GGA) results for a relaxed structure of Zr2TlHRu.

Unit cell a=4.551 b=4.551 c=3.946 alpha=90.00 beta=90.00 gamma=90.00
Sites, in units of the cell vectors:
Ru  0.000  0.000  0.500
Tl  0.500  0.500  0.500
Zr  0.000  0.500  0.000
Zr  0.500  0.000  0.000
H  0.000  0.000  0.000

---

Calculated values (μB/cell) of spin magnetization for the records, taken in order: 0.00 0.00 10.00 0.00 0.00 0.00 0.00 0.00 0.00 0.00 0.00 0.00 0.00.
Calculated values (eV per atom) of DFT total energy for the records, taken in order: -6.420 -5.027 -5.021 -8.862 -4.002 -4.041 -4.514 -3.942 -2.828 -4.248 -8.834 -4.422 -6.623.